DFT (PBE) results for IrSN3 after structural relaxation.

Summary:
Its calculated total energy is -5.80 eV/atom. The formation energy without anion corrections comes out at 1.7895 eV per atom.

Cell: 3.8593 3.8593 3.8593 Å, 90.00 90.00 90.00°
Fractional positions:
S 0.5000 0.5000 0.5000
N 0.0000 0.0000 0.5000
N 0.0000 0.5000 0.0000
N 0.5000 0.0000 0.0000
Ir 0.0000 0.0000 0.0000